Compound: K2CdHg7
Source: the Alexandria database
Functional: PBE-GGA
Structure: relaxed

Unit cell a=8.100 b=8.100 c=8.100 alpha=60.00 beta=60.00 gamma=60.00
Sites, in units of the cell vectors:
K 0.250 0.250 0.250
Cd 0.000 0.000 0.000
Hg 0.249 0.751 0.751
Hg 0.249 0.249 0.751
Hg 0.751 0.751 0.249
Hg 0.751 0.249 0.249
Hg 0.249 0.751 0.249
K 0.750 0.750 0.750
Hg 0.751 0.249 0.751
Hg 0.500 0.500 0.500

Computed properties:
Offset from the most stable computed form, meV/atom: 96
E_form, meV/atom: -71